Compound: Y2FeH4
Source: the Alexandria database
Functional: PBE-GGA
Structure: relaxed

Values from the calculation:
E_tot   -5.3350 eV per atom

```
7
Lattice="-1.705 1.705 6.713 1.705 -1.705 6.713 1.705 1.705 -6.713" Properties=species:S:1:pos:R:3 pbc="T T T"
Y 0.000 0.000 1.842
Y 0.000 0.000 11.583
Fe 0.000 0.000 6.713
H 1.705 0.000 0.000
H 0.000 0.000 5.049
H 0.000 1.705 0.000
H 0.000 0.000 8.377
```